(1)
Computed, not measured: crystalline Sc2AuF at its relaxed geometry at the PBE level of DFT.

a b c (Å): 3.0201 3.0201 27.2198
angles (deg): 90.00 90.00 120.00
Space group R-3m (No. 166, hexagonal axes)
Unique sites:
Sc 0.0000 0.0000 0.1011 [6 per cell]
Au 0.0000 0.0000 0.0000 [3 per cell]
F 0.0000 0.0000 0.5000 [3 per cell]

As for the density: 7.087 g cm⁻³. The calculation puts the energy above the lowest structure with this stoichiometry at 0.552 eV/atom. The formation energy (no corrections) is -0.952 eV/atom.

(2)
Computed, not measured: crystalline Mo2RhN at its relaxed geometry at the PBE level of DFT.

a b c (Å): 4.836 4.836 11.094
angles (deg): 90.00 90.00 90.00
Space group I-42d (No. 122)
Unique sites:
Mo 0.158 0.250 0.125 [8 per cell]
Rh 0.000 0.000 0.500 [4 per cell]
N 0.000 0.000 0.000 [4 per cell]

As for the density: 7.907 g cm⁻³. The formation energy (no corrections) is 0.285 eV/atom.

(3)
Computed, not measured: crystalline Er6FeBi3 at its relaxed geometry at the PBE level of DFT.

a b c (Å): 6.328 8.414 12.435
angles (deg): 90.00 119.53 90.00
Space group P2_1/c (No. 14)
Unique sites:
Er 0.059 0.210 0.443 [4 per cell]
Er 0.298 0.652 0.441 [4 per cell]
Er 0.348 0.039 0.222 [4 per cell]
Fe 0.000 0.000 0.000 [2 per cell]
Bi 0.153 0.113 0.737 [4 per cell]
Bi 0.500 0.000 0.500 [2 per cell]

As for the density: 9.722 g cm⁻³. The calculation puts the total DFT energy (no corrections) at -0.379 Ry per atom.

(4)
Computed, not measured: crystalline Mn2CoNiN at its relaxed geometry at the PBE level of DFT.

a b c (Å): 3.794 3.794 3.737
angles (deg): 90.00 90.00 90.00
Space group P4/mmm (No. 123)
Unique sites:
Mn 0.000 0.500 0.000 [2 per cell]
Co 0.000 0.000 0.500 [1 per cell]
Ni 0.500 0.500 0.500 [1 per cell]
N 0.500 0.500 0.000 [1 per cell]

As for the density: 7.454 g cm⁻³. The calculation puts the energy above the lowest structure with this stoichiometry at 0.000 eV/atom. The formation energy (no corrections) is -0.050 eV/atom.

(5)
Computed, not measured: crystalline Cs2ZrScW at its relaxed geometry at the PBE level of DFT.

a b c (Å): 6.253 6.253 5.114
angles (deg): 90.00 90.00 90.00
Space group P4/mmm (No. 123)
Unique sites:
Cs 0.000 0.500 0.000 [2 per cell]
Zr 0.000 0.000 0.500 [1 per cell]
Sc 0.500 0.500 0.500 [1 per cell]
W 0.000 0.000 0.000 [1 per cell]

As for the density: 4.864 g cm⁻³. The calculation puts the total DFT energy (no corrections) at -0.296 Ry per atom.

(6)
Computed, not measured: crystalline CeTmSn2 at its relaxed geometry at the PBE level of DFT.

a b c (Å): 4.000 4.000 6.782
angles (deg): 90.00 90.00 90.00
Space group P4/mmm (No. 123)
Unique sites:
Ce 0.000 0.000 0.000 [1 per cell]
Tm 0.000 0.000 0.500 [1 per cell]
Sn 0.500 0.500 0.270 [2 per cell]

As for the density: 8.360 g cm⁻³. The calculation puts the total DFT energy (no corrections) at -0.380 Ry per atom.

(7)
Computed, not measured: crystalline Th2MgTl8 at its relaxed geometry at the PBE level of DFT.

a b c (Å): 4.972 4.972 12.609
angles (deg): 90.00 90.00 90.00
Space group P4/mmm (No. 123)
Unique sites:
Th 0.000 0.000 0.184 [2 per cell]
Mg 0.000 0.000 0.500 [1 per cell]
Tl 0.000 0.500 0.000 [2 per cell]
Tl 0.000 0.500 0.368 [4 per cell]
Tl 0.500 0.500 0.183 [2 per cell]

As for the density: 11.311 g cm⁻³. The calculation puts the total DFT energy (no corrections) at -0.242 Ry per atom.

(8)
Computed, not measured: crystalline LaHgMo2 at its relaxed geometry at the PBE level of DFT.

a b c (Å): 10.254 3.521 5.571
angles (deg): 90.00 109.45 90.00
Space group C2/m (No. 12)
Unique sites:
La 0.000 0.000 0.000 [2 per cell]
Hg 0.000 0.500 0.500 [2 per cell]
Mo 0.241 0.000 0.646 [4 per cell]

As for the density: 9.306 g cm⁻³. The calculation puts the total DFT energy (no corrections) at -0.458 Ry per atom.

(9)
Computed, not measured: crystalline ScH4IrPd2 at its relaxed geometry at the PBE level of DFT.

a b c (Å): 5.975 5.945 5.154
angles (deg): 90.00 125.37 90.00
Space group C2 (No. 5)
Unique sites:
Sc 0.000 0.000 0.000 [2 per cell]
H 0.214 0.567 0.462 [4 per cell]
H 0.217 0.760 0.913 [4 per cell]
Ir 0.000 0.749 0.500 [2 per cell]
Pd 0.000 0.248 0.500 [2 per cell]
Pd 0.000 0.498 0.000 [2 per cell]

As for the density: 10.100 g cm⁻³. The calculation puts the total DFT energy (no corrections) at -0.386 Ry per atom.

(10)
Computed, not measured: crystalline Ho2Ni12P7 at its relaxed geometry at the PBE level of DFT.

a b c (Å): 9.0345 9.0345 3.6867
angles (deg): 90.00 90.00 120.00
Space group P-6 (No. 174)
Unique sites:
Ho 0.0000 0.0000 0.0000 [1 per cell]
Ho 0.3333 0.6667 0.5000 [1 per cell]
Ni 0.0398 0.7674 0.5000 [3 per cell]
Ni 0.0976 0.3828 0.0000 [3 per cell]
Ni 0.4518 0.2399 0.0000 [3 per cell]
Ni 0.5143 0.0586 0.5000 [3 per cell]
P 0.0719 0.6280 0.0000 [3 per cell]
P 0.2590 0.0388 0.5000 [3 per cell]
P 0.6667 0.3333 0.5000 [1 per cell]

As for the density: 7.971 g cm⁻³. The calculation puts the energy above the lowest structure with this stoichiometry at 0.000 eV/atom.

(11)
Computed, not measured: crystalline TbThNiIr at its relaxed geometry at the PBE level of DFT.

a b c (Å): 4.441 3.789 10.357
angles (deg): 90.00 90.00 90.00
Space group Amm2 (No. 38)
Unique sites:
Tb 0.000 0.000 0.000 [2 per cell]
Th 0.500 0.000 0.276 [2 per cell]
Ni 0.000 0.000 0.722 [2 per cell]
Ir 0.500 0.000 0.556 [2 per cell]

As for the density: 12.229 g cm⁻³. The calculation puts the energy above the lowest structure with this stoichiometry at 0.000 eV/atom.

(12)
Computed, not measured: crystalline TaIn2Br at its relaxed geometry at the PBE level of DFT.

a b c (Å): 4.292 4.292 9.634
angles (deg): 90.00 90.00 90.00
Space group I4/mmm (No. 139)
Unique sites:
Ta 0.000 0.000 0.000 [2 per cell]
In 0.000 0.500 0.250 [4 per cell]
Br 0.000 0.000 0.500 [2 per cell]

As for the density: 9.179 g cm⁻³. The calculation puts the energy above the lowest structure with this stoichiometry at 0.494 eV/atom. The formation energy (no corrections) is 0.615 eV/atom.